Record 1
CeIrOs after structural relaxation. Source: Alexandria via LeMat-Bulk, functional GGA-PBE.

Its density of states at the Fermi level is 17.5 states/eV/cell. As for the calculated total energy: -9.178 eV per atom. The formation energy is -0.504 eV/atom. The excess energy over the best structure of this formula in the dataset is 0.00 kJ/mol of atoms.

It has space group Imma (No. 74), with a = 5.106 Å, b = 5.487 Å, c = 7.941 Å, α = 90.00°, β = 90.00° and γ = 90.00°. Symmetry generates all atoms from Ce at (0.000, 0.250, 0.127), Ir at (0.000, 0.000, 0.500) and Os at (0.250, 0.250, 0.750).

***

Record 2
La2Pr6Y after structural relaxation. Source: Alexandria via LeMat-Bulk, functional GGA-PBE.

Its density of states at the Fermi level is 16.2 states/eV/cell. As for the calculated total energy: -4.944 eV per atom. The formation energy is 0.056 eV/atom. The excess energy over the best structure of this formula in the dataset is 0.00 kJ/mol of atoms.

It has space group P-6m2 (No. 187), with a = 3.6932 Å, b = 3.6932 Å, c = 27.6901 Å, α = 90.00°, β = 90.00° and γ = 120.00°. Symmetry generates all atoms from La at (0.0000, 0.0000, 0.1702), Pr at (0.0000, 0.0000, 0.3938), Pr at (0.6667, 0.3333, 0.0621), Pr at (0.6667, 0.3333, 0.2838) and Y at (0.6667, 0.3333, 0.5000).

***

Record 3
CrBi after structural relaxation. Source: Alexandria via LeMat-Bulk, functional GGA-PBE.

Its density of states at the Fermi level is 4.7 states/eV/cell. As for the calculated total energy: -6.158 eV per atom. The formation energy is 0.594 eV/atom.

It has space group Pnma (No. 62), with a = 6.506 Å, b = 4.090 Å, c = 7.594 Å, α = 90.00°, β = 90.00° and γ = 90.00°. Symmetry generates all atoms from Cr at (0.177, 0.250, 0.073) and Bi at (0.033, 0.250, 0.713).

***

Record 4
KInSi2 after structural relaxation. Source: Alexandria via LeMat-Bulk, functional GGA-PBE.

Its density of states at the Fermi level is 2.9 states/eV/cell. As for the calculated total energy: -3.497 eV per atom.

It has space group Imm2 (No. 44), with a = 3.744 Å, b = 4.142 Å, c = 14.516 Å, α = 90.00°, β = 90.00° and γ = 90.00°. Symmetry generates all atoms from K at (0.000, 0.000, 0.000), In at (0.000, 0.500, 0.205), Si at (0.000, 0.000, 0.365) and Si at (0.000, 0.500, 0.763).